*A*
{
  "formula": "Cs2AsF",
  "functional": "PBE",
  "state": "optimized geometry",
  "crystal_system": "cubic",
  "rho_g_cm3": 4.5,
  "spacegroup": "Fm-3m, No. 225",
  "lattice_angstrom": [[8.084, 0.000, 0.000], [0.000, 8.084, 0.000], [0.000, 0.000, 8.084]],
  "species": ["Cs", "Cs", "Cs", "Cs", "Cs", "Cs", "Cs", "Cs", "As", "As", "As", "As", "F", "F", "F", "F"],
  "fractional_positions": [[0.250, 0.250, 0.250], [0.250, 0.250, 0.750], [0.250, 0.750, 0.250], [0.250, 0.750, 0.750], [0.750, 0.250, 0.250], [0.750, 0.250, 0.750], [0.750, 0.750, 0.250], [0.750, 0.750, 0.750], [0.000, 0.000, 0.000], [0.000, 0.500, 0.500], [0.500, 0.000, 0.500], [0.500, 0.500, 0.000], [0.000, 0.000, 0.500], [0.000, 0.500, 0.000], [0.500, 0.000, 0.000], [0.500, 0.500, 0.500]]
}

=====

*B*
{
  "formula": "Cs2AsF",
  "functional": "PBE",
  "state": "optimized geometry",
  "crystal_system": "tetragonal",
  "rho_g_cm3": 3.4,
  "spacegroup": "I-42d, No. 122",
  "lattice_angstrom": [[8.608, 0.000, 0.000], [0.000, 8.608, 0.000], [0.000, 0.000, 9.439]],
  "species": ["Cs", "Cs", "Cs", "Cs", "Cs", "Cs", "Cs", "Cs", "As", "As", "As", "As", "F", "F", "F", "F"],
  "fractional_positions": [[0.164, 0.750, 0.125], [0.250, 0.164, 0.875], [0.250, 0.336, 0.375], [0.336, 0.750, 0.625], [0.664, 0.250, 0.625], [0.750, 0.664, 0.375], [0.750, 0.836, 0.875], [0.836, 0.250, 0.125], [0.000, 0.000, 0.500], [0.000, 0.500, 0.750], [0.500, 0.000, 0.250], [0.500, 0.500, 0.000], [0.000, 0.000, 0.000], [0.000, 0.500, 0.250], [0.500, 0.000, 0.750], [0.500, 0.500, 0.500]]
}

=====

Top of the stability list: *B*, leading by 225 meV per atom.

=====

*A*
{
  "formula": "CsAsIrNF",
  "functional": "PBE",
  "state": "optimized geometry",
  "crystal_system": "triclinic",
  "rho_g_cm3": 6.5,
  "spacegroup": "P1, No. 1",
  "lattice_angstrom": [[3.339, 0.000, 0.000], [0.000, 3.815, 0.000], [1.647, 0.776, 8.722]],
  "species": ["Cs", "As", "Ir", "N", "F"],
  "fractional_positions": [[0.000, 0.000, 0.000], [0.702, 0.882, 0.588], [0.790, 0.424, 0.409], [0.338, 0.441, 0.313], [0.571, 0.524, 0.856]]
}

=====

*B*
{
  "formula": "CsAsIrNF",
  "functional": "PBE",
  "state": "optimized geometry",
  "crystal_system": "triclinic",
  "rho_g_cm3": 6.5,
  "spacegroup": "P1, No. 1",
  "lattice_angstrom": [[3.585, 0.000, 0.000], [-1.789, 3.820, 0.000], [-0.017, -1.507, 8.023]],
  "species": ["Cs", "As", "Ir", "N", "F"],
  "fractional_positions": [[0.000, 0.000, 0.000], [0.437, 0.855, 0.475], [0.167, 0.315, 0.595], [0.680, 0.339, 0.691], [0.343, 0.683, 0.197]]
}

=====

Top of the stability list: *A*, leading by 38 meV per atom.

=====

*A*
{
  "formula": "CsAsIrNF",
  "functional": "PBE",
  "state": "optimized geometry",
  "crystal_system": "monoclinic",
  "rho_g_cm3": 6.2,
  "spacegroup": "Pm, No. 6",
  "lattice_angstrom": [[3.756, 0.000, 0.000], [0.000, 3.682, 0.000], [-0.839, 0.000, 8.397]],
  "species": ["Cs", "As", "Ir", "N", "F"],
  "fractional_positions": [[0.000, 0.000, 0.000], [0.130, 0.500, 0.589], [0.575, 0.500, 0.400], [0.576, 0.000, 0.375], [0.476, 0.500, 0.869]]
}

=====

*B*
{
  "formula": "CsAsIrNF",
  "functional": "PBE",
  "state": "optimized geometry",
  "crystal_system": "monoclinic",
  "rho_g_cm3": 5.9,
  "spacegroup": "Cm, No. 8",
  "lattice_angstrom": [[8.992, 0.000, 0.000], [0.000, 4.109, 0.000], [-4.347, 0.000, 6.586]],
  "species": ["Cs", "Cs", "As", "As", "Ir", "Ir", "N", "N", "F", "F"],
  "fractional_positions": [[0.000, 0.000, 0.000], [0.500, 0.500, 0.000], [0.101, 0.000, 0.604], [0.601, 0.500, 0.604], [0.421, 0.000, 0.467], [0.921, 0.500, 0.467], [0.277, 0.000, 0.562], [0.777, 0.500, 0.562], [0.434, 0.000, 0.209], [0.934, 0.500, 0.209]]
}

=====

*C*
{
  "formula": "CsAsIrNF",
  "functional": "PBE",
  "state": "optimized geometry",
  "crystal_system": "triclinic",
  "rho_g_cm3": 6.0,
  "spacegroup": "P1, No. 1",
  "lattice_angstrom": [[4.184, 0.000, 0.000], [-2.073, 4.424, 0.000], [-0.017, -1.149, 6.525]],
  "species": ["Cs", "As", "Ir", "N", "F"],
  "fractional_positions": [[0.000, 0.000, 0.000], [0.757, 0.515, 0.403], [0.384, 0.770, 0.543], [0.562, 0.126, 0.442], [0.274, 0.546, 0.797]]
}

=====

Top of the stability list: *A*, leading by 150 meV per atom.

=====

*A*
{
  "formula": "CsAsOF2",
  "functional": "PBE",
  "state": "optimized geometry",
  "crystal_system": "tetragonal",
  "rho_g_cm3": 3.7,
  "spacegroup": "P4/mmm, No. 123",
  "lattice_angstrom": [[5.238, 0.000, 0.000], [0.000, 5.238, 0.000], [0.000, 0.000, 4.340]],
  "species": ["Cs", "As", "O", "F", "F"],
  "fractional_positions": [[0.000, 0.000, 0.000], [0.500, 0.500, 0.500], [0.000, 0.000, 0.500], [0.000, 0.500, 0.000], [0.500, 0.000, 0.000]]
}

=====

*B*
{
  "formula": "CsAsOF2",
  "functional": "PBE",
  "state": "optimized geometry",
  "crystal_system": "tetragonal",
  "rho_g_cm3": 5.1,
  "spacegroup": "P4/mmm, No. 123",
  "lattice_angstrom": [[4.649, 0.000, 0.000], [0.000, 4.649, 0.000], [0.000, 0.000, 3.962]],
  "species": ["Cs", "As", "O", "F", "F"],
  "fractional_positions": [[0.000, 0.000, 0.000], [0.500, 0.500, 0.500], [0.500, 0.500, 0.000], [0.000, 0.500, 0.500], [0.500, 0.000, 0.500]]
}

=====

Top of the stability list: *B*, leading by 1786 meV per atom.

=====

*A*
{
  "formula": "Cs2RbAsF",
  "functional": "PBE",
  "state": "optimized geometry",
  "crystal_system": "tetragonal",
  "rho_g_cm3": 4.1,
  "spacegroup": "P4/mmm, No. 123",
  "lattice_angstrom": [[5.744, 0.000, 0.000], [0.000, 5.744, 0.000], [0.000, 0.000, 5.447]],
  "species": ["Cs", "Cs", "Rb", "As", "F"],
  "fractional_positions": [[0.000, 0.500, 0.000], [0.500, 0.000, 0.000], [0.000, 0.000, 0.500], [0.500, 0.500, 0.500], [0.000, 0.000, 0.000]]
}

=====

*B*
{
  "formula": "Cs2RbAsF",
  "functional": "PBE",
  "state": "optimized geometry",
  "crystal_system": "tetragonal",
  "rho_g_cm3": 3.3,
  "spacegroup": "P4/mmm, No. 123",
  "lattice_angstrom": [[5.583, 0.000, 0.000], [0.000, 5.583, 0.000], [0.000, 0.000, 7.290]],
  "species": ["Cs", "Cs", "Rb", "As", "F"],
  "fractional_positions": [[0.000, 0.500, 0.000], [0.500, 0.000, 0.000], [0.000, 0.000, 0.500], [0.500, 0.500, 0.500], [0.500, 0.500, 0.000]]
}

=====

Top of the stability list: *A*, leading by 328 meV per atom.

=====

*A*
{
  "formula": "CsAsSe2F",
  "functional": "PBE",
  "state": "optimized geometry",
  "crystal_system": "tetragonal",
  "rho_g_cm3": 4.4,
  "spacegroup": "P4/mmm, No. 123",
  "lattice_angstrom": [[6.006, 0.000, 0.000], [0.000, 6.006, 0.000], [0.000, 0.000, 3.997]],
  "species": ["Cs", "As", "Se", "Se", "F"],
  "fractional_positions": [[0.000, 0.000, 0.000], [0.500, 0.500, 0.000], [0.000, 0.500, 0.500], [0.500, 0.000, 0.500], [0.500, 0.500, 0.500]]
}

=====

*B*
{
  "formula": "CsAsSe2F",
  "functional": "PBE",
  "state": "optimized geometry",
  "crystal_system": "tetragonal",
  "rho_g_cm3": 2.2,
  "spacegroup": "P4/mmm, No. 123",
  "lattice_angstrom": [[6.557, 0.000, 0.000], [0.000, 6.557, 0.000], [0.000, 0.000, 6.738]],
  "species": ["Cs", "As", "Se", "Se", "F"],
  "fractional_positions": [[0.000, 0.000, 0.000], [0.000, 0.000, 0.500], [0.000, 0.500, 0.000], [0.500, 0.000, 0.000], [0.500, 0.500, 0.500]]
}

=====

Top of the stability list: *A*, leading by 1142 meV per atom.

=====

*A*
{
  "formula": "CsFeAs2Se",
  "functional": "PBE",
  "state": "optimized geometry",
  "crystal_system": "tetragonal",
  "rho_g_cm3": 5.6,
  "spacegroup": "P4/mmm, No. 123",
  "lattice_angstrom": [[4.831, 0.000, 0.000], [0.000, 4.831, 0.000], [0.000, 0.000, 5.350]],
  "species": ["Cs", "Fe", "As", "As", "Se"],
  "fractional_positions": [[0.000, 0.000, 0.000], [0.500, 0.500, 0.500], [0.000, 0.500, 0.500], [0.500, 0.000, 0.500], [0.500, 0.500, 0.000]]
}

=====

*B*
{
  "formula": "CsFeAs2Se",
  "functional": "PBE",
  "state": "optimized geometry",
  "crystal_system": "tetragonal",
  "rho_g_cm3": 3.8,
  "spacegroup": "P4/mmm, No. 123",
  "lattice_angstrom": [[5.785, 0.000, 0.000], [0.000, 5.785, 0.000], [0.000, 0.000, 5.524]],
  "species": ["Cs", "Fe", "As", "As", "Se"],
  "fractional_positions": [[0.000, 0.000, 0.000], [0.500, 0.500, 0.500], [0.000, 0.500, 0.000], [0.500, 0.000, 0.000], [0.000, 0.000, 0.500]]
}

=====

Top of the stability list: *A*, leading by 1958 meV per atom.

=====

*A*
{
  "formula": "Cs3GaAs2",
  "functional": "PBE",
  "state": "optimized geometry",
  "crystal_system": "monoclinic",
  "rho_g_cm3": 4.0,
  "spacegroup": "P2_1/c, No. 14",
  "lattice_angstrom": [[11.585, 0.000, 0.000], [0.000, 9.086, 0.000], [-3.416, 0.000, 19.469]],
  "species": ["Cs", "Cs", "Cs", "Cs", "Cs", "Cs", "Cs", "Cs", "Cs", "Cs", "Cs", "Cs", "Cs", "Cs", "Cs", "Cs", "Cs", "Cs", "Cs", "Cs", "Cs", "Cs", "Cs", "Cs", "Ga", "Ga", "Ga", "Ga", "Ga", "Ga", "Ga", "Ga", "As", "As", "As", "As", "As", "As", "As", "As", "As", "As", "As", "As", "As", "As", "As", "As"],
  "fractional_positions": [[0.079, 0.049, 0.241], [0.079, 0.451, 0.741], [0.153, 0.537, 0.967], [0.153, 0.963, 0.467], [0.256, 0.103, 0.922], [0.256, 0.397, 0.422], [0.292, 0.119, 0.660], [0.292, 0.381, 0.160], [0.362, 0.747, 0.291], [0.362, 0.753, 0.791], [0.375, 0.583, 0.607], [0.375, 0.917, 0.107], [0.625, 0.083, 0.893], [0.625, 0.417, 0.393], [0.638, 0.247, 0.209], [0.638, 0.253, 0.709], [0.708, 0.619, 0.840], [0.708, 0.881, 0.340], [0.744, 0.603, 0.578], [0.744, 0.897, 0.078], [0.847, 0.037, 0.533], [0.847, 0.463, 0.033], [0.921, 0.549, 0.259], [0.921, 0.951, 0.759], [0.046, 0.619, 0.556], [0.046, 0.881, 0.056], [0.461, 0.055, 0.424], [0.461, 0.445, 0.924], [0.539, 0.555, 0.076], [0.539, 0.945, 0.576], [0.954, 0.119, 0.944], [0.954, 0.381, 0.444], [0.049, 0.154, 0.065], [0.049, 0.346, 0.565], [0.103, 0.700, 0.142], [0.103, 0.800, 0.642], [0.400, 0.142, 0.309], [0.400, 0.358, 0.809], [0.493, 0.702, 0.968], [0.493, 0.798, 0.468], [0.507, 0.202, 0.532], [0.507, 0.298, 0.032], [0.600, 0.642, 0.191], [0.600, 0.858, 0.691], [0.897, 0.200, 0.358], [0.897, 0.300, 0.858], [0.951, 0.654, 0.435], [0.951, 0.846, 0.935]]
}

=====

*B*
{
  "formula": "Cs3GaAs2",
  "functional": "PBE",
  "state": "optimized geometry",
  "crystal_system": "orthorhombic",
  "rho_g_cm3": 3.4,
  "spacegroup": "Ibam, No. 72",
  "lattice_angstrom": [[-4.062, 7.432, 5.042], [4.062, -7.432, 5.042], [4.062, 7.432, -5.042]],
  "species": ["Cs", "Cs", "Cs", "Cs", "Cs", "Cs", "Ga", "Ga", "As", "As", "As", "As"],
  "fractional_positions": [[0.028, 0.750, 0.278], [0.250, 0.250, 0.000], [0.472, 0.750, 0.722], [0.528, 0.250, 0.278], [0.750, 0.750, 0.000], [0.972, 0.250, 0.722], [0.000, 0.500, 0.500], [0.500, 0.000, 0.500], [0.101, 0.717, 0.817], [0.399, 0.217, 0.616], [0.601, 0.783, 0.384], [0.899, 0.283, 0.183]]
}

=====

*C*
{
  "formula": "Cs3GaAs2",
  "functional": "PBE",
  "state": "optimized geometry",
  "crystal_system": "orthorhombic",
  "rho_g_cm3": 4.2,
  "spacegroup": "Ibam, No. 72",
  "lattice_angstrom": [[-4.332, 7.843, 3.558], [4.332, -7.843, 3.558], [4.332, 7.843, -3.558]],
  "species": ["Cs", "Cs", "Cs", "Cs", "Cs", "Cs", "Ga", "Ga", "As", "As", "As", "As"],
  "fractional_positions": [[0.174, 0.700, 0.874], [0.250, 0.250, 0.000], [0.326, 0.200, 0.526], [0.674, 0.800, 0.474], [0.750, 0.750, 0.000], [0.826, 0.300, 0.126], [0.250, 0.750, 0.500], [0.750, 0.250, 0.500], [0.081, 0.335, 0.416], [0.419, 0.835, 0.253], [0.581, 0.165, 0.747], [0.919, 0.665, 0.584]]
}

=====

Top of the stability list: *A*, leading by 58 meV per atom.